# TlMoAs2Br PBE-GGA relaxed
data_TlMoAs2Br
_chemical_formula_sum 'Tl1 Mo1 As2 Br1'
_cell_length_a 4.862
_cell_length_b 4.862
_cell_length_c 5.699
_cell_angle_alpha 90.00
_cell_angle_beta 90.00
_cell_angle_gamma 90.00
_symmetry_space_group_name_H-M 'P 4/m m m'
_symmetry_Int_Tables_number 123
_symmetry_space_group_name_Hall '-P 4 2'
loop_
_atom_site_label
_atom_site_type_symbol
_atom_site_fract_x
_atom_site_fract_y
_atom_site_fract_z
Tl1 Tl 0.000 0.000 0.000
Mo1 Mo 0.500 0.500 0.500
As1 As 0.000 0.500 0.500
Br1 Br 0.500 0.500 0.000
# - Size of the total moment: 0.49 μB per cell
# - Energy above the lowest structure with this stoichiometry: 0 meV/atom
# - V: 135 Å³/cell
# - Calculated density: 6.5 g/cm3



# Tm2Ga4Co3Ni PBE-GGA relaxed
data_Tm2Ga4Co3Ni
_chemical_formula_sum 'Tm2 Ga4 Co3 Ni1'
_cell_length_a 3.983
_cell_length_b 3.983
_cell_length_c 10.027
_cell_angle_alpha 90.00
_cell_angle_beta 90.00
_cell_angle_gamma 90.00
_symmetry_space_group_name_H-M 'P -4 m 2'
_symmetry_Int_Tables_number 115
loop_
_symmetry_equiv_pos_as_xyz
'x,y,z'
'y,-x,-z'
'-x,-y,z'
'-y,x,-z'
'-x,y,z'
'-y,-x,-z'
'x,-y,z'
'y,x,-z'
loop_
_atom_site_label
_atom_site_type_symbol
_atom_site_fract_x
_atom_site_fract_y
_atom_site_fract_z
Tm1 Tm 0.000 0.500 0.248
Ga1 Ga 0.000 0.000 0.500
Ga2 Ga 0.000 0.500 0.871
Ga3 Ga 0.500 0.500 0.500
Co1 Co 0.000 0.000 0.000
Co2 Co 0.000 0.500 0.637
Ni1 Ni 0.500 0.500 0.000
# - Formation enthalpy at 0 K: -0.44 eV/atom
# - Size of the total moment: 0.00 μB per cell
# - V: 159 Å³/cell
# - Calculated density: 8.9 g/cm3



# La5Pb3C PBE-GGA relaxed
data_La5Pb3C
_chemical_formula_sum 'La10 Pb6 C2'
_cell_length_a 9.6654
_cell_length_b 9.6654
_cell_length_c 6.9431
_cell_angle_alpha 90.00
_cell_angle_beta 90.00
_cell_angle_gamma 120.00
_symmetry_space_group_name_H-M 'P 63/m c m'
_symmetry_Int_Tables_number 193
_symmetry_space_group_name_Hall '-P 6c 2'
loop_
_atom_site_label
_atom_site_type_symbol
_atom_site_fract_x
_atom_site_fract_y
_atom_site_fract_z
La1 La 0.0000 0.2100 0.2500
La2 La 0.3333 0.6667 0.0000
Pb1 Pb 0.0000 0.4120 0.7500
C1 C 0.0000 0.0000 0.0000
# - Formation enthalpy at 0 K: -0.52 eV/atom
# - Size of the total moment: 1.34 μB per cell
# - V: 562 Å³/cell
# - Calculated density: 7.9 g/cm3



# Ti4InPt2 PBE-GGA relaxed
data_Ti4InPt2
_chemical_formula_sum 'Ti12 In3 Pt6'
_cell_length_a 4.1356
_cell_length_b 4.1356
_cell_length_c 28.4385
_cell_angle_alpha 90.00
_cell_angle_beta 90.00
_cell_angle_gamma 120.00
_symmetry_space_group_name_H-M 'R -3 m'
_symmetry_Int_Tables_number 166
_symmetry_space_group_name_Hall '-R 3 2"'
loop_
_atom_site_label
_atom_site_type_symbol
_atom_site_fract_x
_atom_site_fract_y
_atom_site_fract_z
Ti1 Ti 0.0000 0.0000 0.1029
Ti2 Ti 0.0000 0.0000 0.3028
In1 In 0.0000 0.0000 0.5000
Pt1 Pt 0.0000 0.0000 0.3982
# - Formation enthalpy at 0 K: -0.31 eV/atom
# - Size of the total moment: 0.00 μB per cell
# - V: 421 Å³/cell
# - Calculated density: 8.2 g/cm3



# Zn2CdTc PBE-GGA relaxed
data_Zn2CdTc
_chemical_formula_sum 'Zn8 Cd4 Tc4'
_cell_length_a 7.087
_cell_length_b 7.087
_cell_length_c 5.564
_cell_angle_alpha 90.00
_cell_angle_beta 90.00
_cell_angle_gamma 90.00
_symmetry_space_group_name_H-M 'I -4 2 d'
_symmetry_Int_Tables_number 122
_symmetry_space_group_name_Hall 'I -4 2bw'
loop_
_atom_site_label
_atom_site_type_symbol
_atom_site_fract_x
_atom_site_fract_y
_atom_site_fract_z
Zn1 Zn 0.239 0.250 0.125
Cd1 Cd 0.000 0.000 0.500
Tc1 Tc 0.000 0.000 0.000
# - Formation enthalpy at 0 K: 0.49 eV/atom
# - Size of the total moment: 3.83 μB per cell
# - V: 279 Å³/cell
# - Calculated density: 8.1 g/cm3



# Ba2CaZr PBE-GGA relaxed
data_Ba2CaZr
_chemical_formula_sum 'Ba4 Ca2 Zr2'
_cell_length_a 5.361
_cell_length_b 5.373
_cell_length_c 11.562
_cell_angle_alpha 90.00
_cell_angle_beta 90.00
_cell_angle_gamma 90.00
_symmetry_space_group_name_H-M 'C m m m'
_symmetry_Int_Tables_number 65
_symmetry_space_group_name_Hall '-C 2 2'
loop_
_atom_site_label
_atom_site_type_symbol
_atom_site_fract_x
_atom_site_fract_y
_atom_site_fract_z
Ba1 Ba 0.000 0.000 0.219
Ca1 Ca 0.000 0.500 0.500
Zr1 Zr 0.000 0.500 0.000
# - Formation enthalpy at 0 K: 0.43 eV/atom
# - Size of the total moment: 0.00 μB per cell
# - Energy above the lowest structure with this stoichiometry: 28 meV/atom
# - V: 333 Å³/cell
# - Calculated density: 4.0 g/cm3



# LiZr2P PBE-GGA relaxed
data_LiZr2P
_chemical_formula_sum 'Li1 Zr2 P1'
_cell_length_a 3.614
_cell_length_b 3.614
_cell_length_c 5.651
_cell_angle_alpha 90.00
_cell_angle_beta 90.00
_cell_angle_gamma 90.00
_symmetry_space_group_name_H-M 'P 4 m m'
_symmetry_Int_Tables_number 99
loop_
_symmetry_equiv_pos_as_xyz
'x,y,z'
'-y,x,z'
'-x,-y,z'
'y,-x,z'
'-x,y,z'
'y,x,z'
'x,-y,z'
'-y,-x,z'
loop_
_atom_site_label
_atom_site_type_symbol
_atom_site_fract_x
_atom_site_fract_y
_atom_site_fract_z
Li1 Li 0.000 0.000 0.000
Zr1 Zr 0.000 0.000 0.456
Zr2 Zr 0.500 0.500 0.757
P1 P 0.500 0.500 0.259
# - Formation enthalpy at 0 K: -0.42 eV/atom
# - Size of the total moment: 0.00 μB per cell
# - V: 74 Å³/cell
# - Calculated density: 5.0 g/cm3



# AcZr2In PBE-GGA relaxed
data_AcZr2In
_chemical_formula_sum 'Ac1 Zr2 In1'
_cell_length_a 4.827
_cell_length_b 4.827
_cell_length_c 4.556
_cell_angle_alpha 90.00
_cell_angle_beta 90.00
_cell_angle_gamma 90.00
_symmetry_space_group_name_H-M 'P 4/m m m'
_symmetry_Int_Tables_number 123
_symmetry_space_group_name_Hall '-P 4 2'
loop_
_atom_site_label
_atom_site_type_symbol
_atom_site_fract_x
_atom_site_fract_y
_atom_site_fract_z
Ac1 Ac 0.000 0.000 0.000
Zr1 Zr 0.000 0.500 0.500
In1 In 0.500 0.500 0.000
# - Formation enthalpy at 0 K: 0.02 eV/atom
# - Size of the total moment: 0.00 μB per cell
# - Energy above the lowest structure with this stoichiometry: 0 meV/atom
# - V: 106 Å³/cell
# - Calculated density: 8.2 g/cm3



# TaAu2Br PBE-GGA relaxed
data_TaAu2Br
_chemical_formula_sum 'Ta1 Au2 Br1'
_cell_length_a 4.011
_cell_length_b 4.011
_cell_length_c 4.810
_cell_angle_alpha 90.00
_cell_angle_beta 90.00
_cell_angle_gamma 90.00
_symmetry_space_group_name_H-M 'P 4/m m m'
_symmetry_Int_Tables_number 123
_symmetry_space_group_name_Hall '-P 4 2'
loop_
_atom_site_label
_atom_site_type_symbol
_atom_site_fract_x
_atom_site_fract_y
_atom_site_fract_z
Ta1 Ta 0.000 0.000 0.000
Au1 Au 0.000 0.500 0.500
Br1 Br 0.500 0.500 0.000
# - Size of the total moment: 0.74 μB per cell
# - Energy above the lowest structure with this stoichiometry: 685 meV/atom
# - V: 77 Å³/cell
# - Calculated density: 14.1 g/cm3



# Mg2MnTc PBE-GGA relaxed
data_Mg2MnTc
_chemical_formula_sum 'Mg4 Mn2 Tc2'
_cell_length_a 3.237
_cell_length_b 4.590
_cell_length_c 9.045
_cell_angle_alpha 90.00
_cell_angle_beta 90.00
_cell_angle_gamma 90.00
_symmetry_space_group_name_H-M 'C m m 2'
_symmetry_Int_Tables_number 35
loop_
_symmetry_equiv_pos_as_xyz
'x,y,z'
'-x,-y,z'
'-x,y,z'
'x,-y,z'
'x+1/2,y+1/2,z'
'-x+1/2,-y+1/2,z'
'-x+1/2,y+1/2,z'
'x+1/2,-y+1/2,z'
loop_
_atom_site_label
_atom_site_type_symbol
_atom_site_fract_x
_atom_site_fract_y
_atom_site_fract_z
Mg1 Mg 0.000 0.000 0.000
Mg2 Mg 0.000 0.500 0.298
Mn1 Mn 0.000 0.500 0.750
Tc1 Tc 0.000 0.000 0.549
# - Formation enthalpy at 0 K: 0.21 eV/atom
# - Size of the total moment: 4.80 μB per cell
# - Energy above the lowest structure with this stoichiometry: 139 meV/atom
# - V: 134 Å³/cell
# - Calculated density: 5.0 g/cm3



# TaNiBi PBE-GGA relaxed
data_TaNiBi
_chemical_formula_sum 'Ta4 Ni4 Bi4'
_cell_length_a 11.548
_cell_length_b 3.115
_cell_length_c 6.603
_cell_angle_alpha 90.00
_cell_angle_beta 90.00
_cell_angle_gamma 90.00
_symmetry_space_group_name_H-M 'A m m 2'
_symmetry_Int_Tables_number 38
loop_
_symmetry_equiv_pos_as_xyz
'x,y,z'
'-x,-y,z'
'-x,y,z'
'x,-y,z'
'x,y+1/2,z+1/2'
'-x,-y+1/2,z+1/2'
'-x,y+1/2,z+1/2'
'x,-y+1/2,z+1/2'
loop_
_atom_site_label
_atom_site_type_symbol
_atom_site_fract_x
_atom_site_fract_y
_atom_site_fract_z
Ta1 Ta 0.130 0.000 0.000
Ni1 Ni 0.000 0.000 0.304
Ni2 Ni 0.500 0.000 0.985
Bi1 Bi 0.337 0.000 0.303
# - Formation enthalpy at 0 K: 0.41 eV/atom
# - Size of the total moment: 0.00 μB per cell
# - V: 238 Å³/cell
# - Calculated density: 12.5 g/cm3



# TbGe2Cl8 PBE-GGA relaxed
data_TbGe2Cl8
_chemical_formula_sum 'Tb2 Ge4 Cl16'
_cell_length_a 12.161
_cell_length_b 9.006
_cell_length_c 7.514
_cell_angle_alpha 90.00
_cell_angle_beta 109.00
_cell_angle_gamma 90.00
_symmetry_space_group_name_H-M 'C 1 2/m 1'
_symmetry_Int_Tables_number 12
loop_
_symmetry_equiv_pos_as_xyz
'x,y,z'
'-x,-y,-z'
'-x,y,-z'
'x,-y,z'
'x+1/2,y+1/2,z'
'-x+1/2,-y+1/2,-z'
'-x+1/2,y+1/2,-z'
'x+1/2,-y+1/2,z'
loop_
_atom_site_label
_atom_site_type_symbol
_atom_site_fract_x
_atom_site_fract_y
_atom_site_fract_z
Tb1 Tb 0.000 0.000 0.000
Ge1 Ge 0.135 0.000 0.624
Cl1 Cl 0.088 0.197 0.812
Cl2 Cl 0.177 0.500 0.226
Cl3 Cl 0.187 0.000 0.301
# - Size of the total moment: 0.01 μB per cell
# - V: 778 Å³/cell
# - Total energy: -3.820 eV per atom
# - Calculated density: 2.5 g/cm3